1.
A relaxed structure of LiCuMoPt, computed with PBE-GGA.

It has space group F-43m (No. 216), with a = 5.9784 Å, b = 5.9784 Å, c = 5.9784 Å, α = 90.00°, β = 90.00° and γ = 90.00°. Symmetry generates all atoms from Li at (0.0000, 0.0000, 0.0000), Cu at (0.0000, 0.0000, 0.5000), Mo at (0.2500, 0.2500, 0.7500) and Pt at (0.2500, 0.2500, 0.2500).

Its spin magnetization is 0.16 μB/cell.

=====

2.
A relaxed structure of LiCuMoPt, computed with PBE-GGA.

It has space group F-43m (No. 216), with a = 6.0274 Å, b = 6.0274 Å, c = 6.0274 Å, α = 90.00°, β = 90.00° and γ = 90.00°. Symmetry generates all atoms from Li at (0.0000, 0.0000, 0.0000), Cu at (0.2500, 0.2500, 0.2500), Mo at (0.2500, 0.2500, 0.7500) and Pt at (0.0000, 0.0000, 0.5000).

Its spin magnetization is 0.04 μB/cell.

=====

So which one wins? Going from most stable to least: 2, 1.

=====

1.
A relaxed structure of LiCuSnMo, computed with PBE-GGA.

It has space group F-43m (No. 216), with a = 6.2608 Å, b = 6.2608 Å, c = 6.2608 Å, α = 90.00°, β = 90.00° and γ = 90.00°. Symmetry generates all atoms from Li at (0.0000, 0.0000, 0.0000), Cu at (0.0000, 0.0000, 0.5000), Sn at (0.2500, 0.2500, 0.2500) and Mo at (0.2500, 0.2500, 0.7500).

Its spin magnetization is 8.61 μB/cell.

=====

2.
A relaxed structure of LiCuSnMo, computed with PBE-GGA.

It has space group F-43m (No. 216), with a = 6.3396 Å, b = 6.3396 Å, c = 6.3396 Å, α = 90.00°, β = 90.00° and γ = 90.00°. Symmetry generates all atoms from Li at (0.0000, 0.0000, 0.0000), Cu at (0.2500, 0.2500, 0.7500), Sn at (0.0000, 0.0000, 0.5000) and Mo at (0.2500, 0.2500, 0.2500).

Its spin magnetization is 5.88 μB/cell.

=====

So which one wins? Going from most stable to least: 2, 1.

=====

1.
A relaxed structure of LiZnCuMo, computed with PBE-GGA.

It has space group F-43m (No. 216), with a = 6.0047 Å, b = 6.0047 Å, c = 6.0047 Å, α = 90.00°, β = 90.00° and γ = 90.00°. Symmetry generates all atoms from Li at (0.0000, 0.0000, 0.0000), Zn at (0.0000, 0.0000, 0.5000), Cu at (0.2500, 0.2500, 0.7500) and Mo at (0.2500, 0.2500, 0.2500).

Its spin magnetization is 7.26 μB/cell.

=====

2.
A relaxed structure of LiZnCuMo, computed with PBE-GGA.

It has space group F-43m (No. 216), with a = 5.9919 Å, b = 5.9919 Å, c = 5.9919 Å, α = 90.00°, β = 90.00° and γ = 90.00°. Symmetry generates all atoms from Li at (0.0000, 0.0000, 0.0000), Zn at (0.2500, 0.2500, 0.2500), Cu at (0.0000, 0.0000, 0.5000) and Mo at (0.2500, 0.2500, 0.7500).

Its spin magnetization is 7.91 μB/cell.

=====

So which one wins? Going from most stable to least: 2, 1.

=====

1.
A relaxed structure of LiNbCuPb, computed with PBE-GGA.

It has space group F-43m (No. 216), with a = 6.5967 Å, b = 6.5967 Å, c = 6.5967 Å, α = 90.00°, β = 90.00° and γ = 90.00°. Symmetry generates all atoms from Li at (0.0000, 0.0000, 0.0000), Nb at (0.2500, 0.2500, 0.2500), Cu at (0.2500, 0.2500, 0.7500) and Pb at (0.0000, 0.0000, 0.5000).

Its spin magnetization is 7.80 μB/cell.

=====

2.
A relaxed structure of LiNbCuPb, computed with PBE-GGA.

It has space group F-43m (No. 216), with a = 6.4718 Å, b = 6.4718 Å, c = 6.4718 Å, α = 90.00°, β = 90.00° and γ = 90.00°. Symmetry generates all atoms from Li at (0.0000, 0.0000, 0.0000), Nb at (0.2500, 0.2500, 0.2500), Cu at (0.0000, 0.0000, 0.5000) and Pb at (0.2500, 0.2500, 0.7500).

Its spin magnetization is 7.93 μB/cell.

=====

So which one wins? Going from most stable to least: 2, 1.

=====

1.
A relaxed structure of LiNbCuSi, computed with PBE-GGA.

It has space group F-43m (No. 216), with a = 5.9792 Å, b = 5.9792 Å, c = 5.9792 Å, α = 90.00°, β = 90.00° and γ = 90.00°. Symmetry generates all atoms from Li at (0.0000, 0.0000, 0.0000), Nb at (0.2500, 0.2500, 0.7500), Cu at (0.0000, 0.0000, 0.5000) and Si at (0.2500, 0.2500, 0.2500).

Its spin magnetization is 3.48 μB/cell.

=====

2.
A relaxed structure of LiNbCuSi, computed with PBE-GGA.

It has space group F-43m (No. 216), with a = 5.9980 Å, b = 5.9980 Å, c = 5.9980 Å, α = 90.00°, β = 90.00° and γ = 90.00°. Symmetry generates all atoms from Li at (0.0000, 0.0000, 0.0000), Nb at (0.2500, 0.2500, 0.2500), Cu at (0.2500, 0.2500, 0.7500) and Si at (0.0000, 0.0000, 0.5000).

Its spin magnetization is 0.10 μB/cell.

=====

So which one wins? Going from most stable to least: 2, 1.

=====

1.
A relaxed structure of LiNbTlCu, computed with PBE-GGA.

It has space group F-43m (No. 216), with a = 6.5066 Å, b = 6.5066 Å, c = 6.5066 Å, α = 90.00°, β = 90.00° and γ = 90.00°. Symmetry generates all atoms from Li at (0.0000, 0.0000, 0.0000), Nb at (0.2500, 0.2500, 0.2500), Tl at (0.0000, 0.0000, 0.5000) and Cu at (0.2500, 0.2500, 0.7500).

Its spin magnetization is 6.57 μB/cell.

=====

2.
A relaxed structure of LiNbTlCu, computed with PBE-GGA.

It has space group F-43m (No. 216), with a = 6.3535 Å, b = 6.3535 Å, c = 6.3535 Å, α = 90.00°, β = 90.00° and γ = 90.00°. Symmetry generates all atoms from Li at (0.0000, 0.0000, 0.0000), Nb at (0.2500, 0.2500, 0.7500), Tl at (0.2500, 0.2500, 0.2500) and Cu at (0.0000, 0.0000, 0.5000).

Its spin magnetization is 0.42 μB/cell.

=====

So which one wins? Going from most stable to least: 2, 1.

=====

1.
A relaxed structure of LiNbZnCu, computed with PBE-GGA.

It has space group F-43m (No. 216), with a = 6.0596 Å, b = 6.0596 Å, c = 6.0596 Å, α = 90.00°, β = 90.00° and γ = 90.00°. Symmetry generates all atoms from Li at (0.0000, 0.0000, 0.0000), Nb at (0.2500, 0.2500, 0.2500), Zn at (0.0000, 0.0000, 0.5000) and Cu at (0.2500, 0.2500, 0.7500).

Its spin magnetization is 0.16 μB/cell.

=====

2.
A relaxed structure of LiNbZnCu, computed with PBE-GGA.

It has space group F-43m (No. 216), with a = 6.0485 Å, b = 6.0485 Å, c = 6.0485 Å, α = 90.00°, β = 90.00° and γ = 90.00°. Symmetry generates all atoms from Li at (0.0000, 0.0000, 0.0000), Nb at (0.2500, 0.2500, 0.7500), Zn at (0.2500, 0.2500, 0.2500) and Cu at (0.0000, 0.0000, 0.5000).

Its spin magnetization is 0.00 μB/cell.

=====

So which one wins? Going from most stable to least: 2, 1.

=====

1.
A relaxed structure of LiCuSiOs, computed with PBE-GGA.

It has space group F-43m (No. 216), with a = 5.7581 Å, b = 5.7581 Å, c = 5.7581 Å, α = 90.00°, β = 90.00° and γ = 90.00°. Symmetry generates all atoms from Li at (0.0000, 0.0000, 0.0000), Cu at (0.2500, 0.2500, 0.7500), Si at (0.0000, 0.0000, 0.5000) and Os at (0.2500, 0.2500, 0.2500).

Its spin magnetization is 0.01 μB/cell.

=====

2.
A relaxed structure of LiCuSiOs, computed with PBE-GGA.

It has space group F-43m (No. 216), with a = 5.8134 Å, b = 5.8134 Å, c = 5.8134 Å, α = 90.00°, β = 90.00° and γ = 90.00°. Symmetry generates all atoms from Li at (0.0000, 0.0000, 0.0000), Cu at (0.0000, 0.0000, 0.5000), Si at (0.2500, 0.2500, 0.2500) and Os at (0.2500, 0.2500, 0.7500).

Its spin magnetization is 0.02 μB/cell.

=====

So which one wins? Going from most stable to least: 1, 2.